Material: SrHf2TaTl
Method: DFT, PBE
State: relaxed

POSCAR file:
```
SrHf2TaTl
1.0
5.3251 0.0000 0.0000
0.0000 5.3251 0.0000
0.0000 0.0000 5.7111
Sr Hf Ta Tl
1 2 1 1
direct
0.0000 0.0000 0.0000
0.0000 0.5000 0.5000
0.5000 0.0000 0.5000
0.5000 0.5000 0.0000
0.0000 0.0000 0.5000
```

## Properties
Final energy, eV/atom: -5.44
Symmetry: P4/mmm, No. 123


Material: Sr2HfTaZn
Method: DFT, PBE
State: relaxed

POSCAR file:
```
Sr2HfTaZn
1.0
6.0611 0.0000 0.0000
0.0000 6.0611 0.0000
0.0000 0.0000 5.0603
Sr Hf Ta Zn
2 1 1 1
direct
0.0000 0.5000 0.0000
0.5000 0.0000 0.0000
0.0000 0.0000 0.5000
0.0000 0.0000 0.0000
0.5000 0.5000 0.5000
```

## Properties
Final energy, eV/atom: -4.23
Symmetry: P4/mmm, No. 123


Material: SrHf2Tc
Method: DFT, PBE
State: relaxed

POSCAR file:
```
SrHf2Tc
1.0
-2.8775 2.8775 8.2608
2.8775 -2.8775 8.2608
2.8775 2.8775 -8.2608
Sr Hf Tc
2 4 2
direct
0.3750 0.6250 0.7500
0.6250 0.3750 0.2500
0.0000 0.0000 0.0000
0.0000 0.0000 0.5000
0.0000 0.5000 0.0000
0.5000 0.0000 0.5000
0.1250 0.8750 0.2500
0.8750 0.1250 0.7500
```

## Properties
Energy above the lowest structure with this stoichiometry, meV/atom: 523
Final energy, eV/atom: -6.94
Symmetry: I4_1/amd, No. 141


Number 1: formation energy from the elements 1.721 eV per atom. Number 2: formation energy from the elements 1.058 eV per atom. Number 3: formation energy from the elements 1.046 eV per atom.